Record 1
5
Lattice="4.049 0.000 0.000 0.000 4.049 0.000 -2.025 -2.025 5.452" Properties=species:S:1:pos:R:3 comment="PmVSi3 (PBE, optimized geometry)" space_group="No. 107" crystal_system=tetragonal pbc="T T T"
Si 2.025 0.000 2.925
V 2.025 2.025 1.580
Si 0.000 2.025 2.925
Pm 2.025 2.025 5.330
Si 0.000 0.000 4.582

Record 2
80
Lattice="13.266 0.000 0.000 -4.422 12.507 0.000 -4.422 -6.254 10.832" Properties=species:S:1:pos:R:3 comment="Pm3V5Si12 (PBE, optimized geometry)" space_group="No. 230" crystal_system=cubic pbc="T T T"
Si -3.317 10.489 0.342
V 1.105 3.908 9.478
Si 7.495 0.627 8.765
Si 5.771 -1.476 9.255
Si 2.151 5.773 10.683
Pm 3.316 0.000 8.124
Si 2.271 9.269 4.926
V 7.738 -0.782 6.770
Si 7.739 -4.236 10.490
V 5.527 5.472 4.062
V 5.527 3.127 8.124
Si 3.316 4.432 3.839
Si 2.515 4.149 7.483
Si 9.148 0.826 5.564
Si 4.118 -4.149 7.483
V -1.105 0.782 6.770
Si -2.151 2.758 5.757
Si 6.573 3.496 5.074
Pm 7.738 8.599 1.354
Si -1.106 -2.414 7.334
Pm 3.316 7.035 6.770
V 1.105 -3.127 8.124
V 5.527 -3.908 9.478
V -2.211 6.254 0.000
Si 1.907 11.228 1.918
Si -1.349 7.730 1.577
Si 0.862 1.476 9.255
Si 3.560 8.357 0.490
Pm 5.527 0.782 4.062
Si -0.862 -0.627 8.765
V 0.000 0.000 0.000
Si 2.151 -3.015 5.906
Si 4.118 4.974 8.913
Pm 9.949 0.000 2.708
Si 5.527 -1.822 6.993
Si 5.528 8.667 3.497
Si 1.907 2.105 3.349
Si 7.739 2.414 7.334
Pm -5.527 6.254 8.124
V 3.316 2.345 1.354
Si -1.105 8.076 3.839
Si -2.515 -0.826 5.564
Pm 7.738 3.908 1.354
Si 6.937 7.080 5.267
Si 2.515 -4.974 8.913
Si 0.304 1.279 1.918
Pm 1.105 -0.782 4.062
V -1.105 10.162 1.354
Si -3.317 3.840 3.497
Pm 1.105 6.254 2.708
Si 0.862 -2.104 10.341
V 3.316 9.380 2.708
Si 3.560 4.777 1.577
Si -0.060 12.027 0.149
Si -1.106 4.236 10.490
Si 5.528 2.018 0.342
Si 8.784 -2.758 5.757
V -1.105 3.127 2.708
Si 2.271 0.480 0.149
Si -0.060 3.238 4.926
V 6.633 0.000 0.000
Si -4.362 9.012 5.074
Si 0.304 10.402 3.349
V 4.422 -3.127 5.416
Si 4.482 -5.773 10.683
Si 5.771 2.104 10.341
Pm -3.316 2.345 9.478
Pm -3.316 -2.345 9.478
Si 5.284 6.881 2.067
Si 4.482 3.015 5.906
V -3.316 7.035 4.062
Si -4.726 5.428 5.267
V -4.422 3.127 5.416
V 4.422 6.254 0.000
V -2.211 -3.127 5.416
Si -3.073 5.626 2.067
Si 1.106 1.822 6.993
Si -1.349 4.150 0.490
V 2.211 3.127 5.416
Pm -1.105 5.472 6.770

Number 1: uncorrected energy -31.5 eV for the cell shown. Number 2: uncorrected energy -470.1 eV for the cell shown.